Entry 1:
The following is a DFT calculation (GGA-PBE) of MgCoAs2 after structural relaxation.

## Properties
**Calculated formation energy**: -88 meV/atom

a = 4.0915 Å, b = 3.7625 Å, c = 5.0276 Å
α = 90.00°, β = 109.85°, γ = 90.00°
Element x y z (fractional)
Mg 0.0000 0.0000 0.0000
Co 0.5000 0.0000 0.5000
As 0.3898 0.5000 0.7297
As 0.6102 0.5000 0.2703

---

Entry 2:
The following is a DFT calculation (GGA-PBE) of MgAlAg2 after structural relaxation.

## Properties
**Calculated formation energy**: -61 meV/atom
**Offset from the most stable computed form**: 111 meV/atom

a = 9.2230 Å, b = 9.2230 Å, c = 9.2230 Å
α = 18.88°, β = 18.88°, γ = 18.88°
Element x y z (fractional)
Mg 0.0000 0.0000 0.0000
Al 0.5000 0.5000 0.5000
Ag 0.2469 0.2469 0.2469
Ag 0.7531 0.7531 0.7531

---

Entry 3:
The following is a DFT calculation (GGA-PBE) of Na2ZnGa7 after structural relaxation.

## Properties
**Calculated formation energy**: -120 meV/atom

a = 4.2057 Å, b = 4.2057 Å, c = 11.4164 Å
α = 90.00°, β = 90.00°, γ = 90.00°
Element x y z (fractional)
Na 0.0000 0.5000 0.2450
Na 0.5000 0.0000 0.7550
Zn 0.5000 0.5000 0.0000
Ga 0.0000 0.0000 0.0000
Ga 0.0000 0.0000 0.5000
Ga 0.0000 0.5000 0.6422
Ga 0.0000 0.5000 0.8610
Ga 0.5000 0.0000 0.1390
Ga 0.5000 0.0000 0.3578
Ga 0.5000 0.5000 0.5000

---

Entry 4:
The following is a DFT calculation (GGA-PBE) of NaNd2SmS4 after structural relaxation.

## Properties
**Formation energy without anion corrections**: -184.7 kJ/mol of atoms

a = 7.0209 Å, b = 4.0423 Å, c = 7.0237 Å
α = 90.00°, β = 109.26°, γ = 90.00°
Element x y z (fractional)
Na 0.0000 0.0000 0.0000
Nd 0.5000 0.0000 0.5000
Nd 0.5000 0.5000 0.0000
Sm 0.0000 0.5000 0.5000
S 0.2448 0.0000 0.7483
S 0.2492 0.5000 0.2527
S 0.7508 0.5000 0.7473
S 0.7552 0.0000 0.2517

---

Entry 5:
The following is a DFT calculation (GGA-PBE) of Ac3Sb2Pd7 after structural relaxation.

## Properties
**Formation energy without anion corrections**: -70.7 kJ/mol of atoms

a = 5.2401 Å, b = 4.5822 Å, c = 12.0553 Å
α = 90.00°, β = 95.68°, γ = 90.00°
Element x y z (fractional)
Ac 0.0000 0.0000 0.0000
Ac 0.2760 0.0000 0.6152
Ac 0.7240 0.0000 0.3848
Sb 0.3657 0.5000 0.2025
Sb 0.6343 0.5000 0.7975
Pd 0.1394 0.5000 0.8058
Pd 0.1769 0.0000 0.2659
Pd 0.1783 0.5000 0.4163
Pd 0.5000 0.5000 0.0000
Pd 0.8217 0.5000 0.5837
Pd 0.8231 0.0000 0.7341
Pd 0.8606 0.5000 0.1942

---

Entry 6:
The following is a DFT calculation (GGA-PBE) of SrSb after structural relaxation.

## Properties
**Formation energy without anion corrections**: -70.1 kJ/mol of atoms

a = 5.1993 Å, b = 5.1993 Å, c = 5.1993 Å
α = 49.16°, β = 49.16°, γ = 49.16°
Element x y z (fractional)
Sr 0.0000 0.0000 0.0000
Sb 0.5000 0.5000 0.5000

---

Entry 7:
The following is a DFT calculation (GGA-PBE) of CrAsRh2 after structural relaxation.

## Properties
**Calculated formation energy**: -116 meV/atom

a = 4.4334 Å, b = 4.4334 Å, c = 2.9973 Å
α = 90.00°, β = 90.00°, γ = 101.45°
Element x y z (fractional)
Cr 0.0000 0.0000 0.0000
As 0.5000 0.5000 0.0000
Rh 0.0000 0.5000 0.5000
Rh 0.5000 0.0000 0.5000

---

Entry 8:
The following is a DFT calculation (GGA-PBE) of BaSrSeBr2 after structural relaxation.

## Properties
**Formation energy without anion corrections**: -170.1 kJ/mol of atoms
**Offset from the most stable computed form**: 0 meV/atom

a = 5.7280 Å, b = 5.7280 Å, c = 5.9921 Å
α = 90.00°, β = 90.00°, γ = 90.00°
Element x y z (fractional)
Ba 0.0000 0.0000 0.0000
Sr 0.5000 0.5000 0.5000
Se 0.5000 0.5000 0.0000
Br 0.0000 0.5000 0.5000
Br 0.5000 0.0000 0.5000

---

Entry 9:
The following is a DFT calculation (GGA-PBE) of CeTlPt after structural relaxation.

## Properties
**Calculated formation energy**: -597 meV/atom

a = 4.8164 Å, b = 4.8164 Å, c = 3.5177 Å
α = 90.00°, β = 90.00°, γ = 120.00°
Element x y z (fractional)
Ce 0.0000 0.0000 0.0000
Tl 0.6667 0.3333 0.5000
Pt 0.3333 0.6667 0.5000

---

Entry 10:
The following is a DFT calculation (GGA-PBE) of Ag2SnPt2 after structural relaxation.

## Properties
**Calculated formation energy**: -95 meV/atom
**Offset from the most stable computed form**: 0 meV/atom

a = 6.8514 Å, b = 6.8514 Å, c = 4.0668 Å
α = 90.00°, β = 90.00°, γ = 90.00°
Element x y z (fractional)
Ag 0.1584 0.3416 0.0000
Ag 0.3416 0.8416 0.0000
Ag 0.6584 0.1584 0.0000
Ag 0.8416 0.6584 0.0000
Sn 0.0000 0.0000 0.5000
Sn 0.5000 0.5000 0.5000
Pt 0.1393 0.6393 0.5000
Pt 0.3607 0.1393 0.5000
Pt 0.6393 0.8607 0.5000
Pt 0.8607 0.3607 0.5000

---

Entry 11:
The following is a DFT calculation (GGA-PBE) of DyHo3Tm2 after structural relaxation.

## Properties
**Calculated formation energy**: -2 meV/atom

a = 7.0762 Å, b = 7.0766 Å, c = 8.6927 Å
α = 90.02°, β = 101.72°, γ = 119.97°
Element x y z (fractional)
Dy 0.0000 0.2496 0.0007
Dy 0.0000 0.7504 0.9993
Ho 0.2215 0.3604 0.6652
Ho 0.2785 0.6396 0.3350
Ho 0.5001 0.2497 0.0006
Ho 0.4999 0.7503 0.9994
Ho 0.7215 0.3604 0.6650
Ho 0.7785 0.6396 0.3348
Tm 0.2223 0.8615 0.6657
Tm 0.2779 0.1387 0.3345
Tm 0.7221 0.8613 0.6655
Tm 0.7777 0.1385 0.3343

---

Entry 12:
The following is a DFT calculation (GGA-PBE) of Pm7HoEr4 after structural relaxation.

## Properties
**Calculated formation energy**: 221 meV/atom
**Offset from the most stable computed form**: 219 meV/atom

a = 8.5744 Å, b = 8.5744 Å, c = 9.3653 Å
α = 114.63°, β = 114.63°, γ = 40.68°
Element x y z (fractional)
Pm 0.0000 0.0000 0.0000
Pm 0.2883 0.2883 0.1172
Pm 0.2889 0.2889 0.7641
Pm 0.4157 0.4157 0.5538
Pm 0.5843 0.5843 0.4462
Pm 0.7111 0.7111 0.2359
Pm 0.7117 0.7117 0.8828
Ho 0.5000 0.5000 0.0000
Er 0.0711 0.0711 0.6981
Er 0.1711 0.1711 0.3850
Er 0.8289 0.8289 0.6150
Er 0.9289 0.9289 0.3019

---

Entry 13:
The following is a DFT calculation (GGA-PBE) of Be2InCl after structural relaxation.

## Properties
**Formation energy without anion corrections**: 18.7 kJ/mol of atoms
**Offset from the most stable computed form**: 0 meV/atom

a = 3.0723 Å, b = 3.0723 Å, c = 7.8421 Å
α = 90.00°, β = 90.00°, γ = 90.00°
Element x y z (fractional)
Be 0.0000 0.0000 0.0000
Be 0.5000 0.5000 0.0888
In 0.0000 0.0000 0.6486
Cl 0.5000 0.5000 0.3384

---

Entry 14:
The following is a DFT calculation (GGA-PBE) of Nd2ZnCo2 after structural relaxation.

## Properties
**Calculated formation energy**: -163 meV/atom

a = 5.5416 Å, b = 5.5416 Å, c = 7.7528 Å
α = 102.77°, β = 102.77°, γ = 59.44°
Element x y z (fractional)
Nd 0.0089 0.7019 0.8547
Nd 0.2981 0.9911 0.6453
Nd 0.7019 0.0089 0.3547
Nd 0.9911 0.2981 0.1453
Zn 0.3704 0.6296 0.2500
Zn 0.6296 0.3704 0.7500
Co 0.2026 0.5037 0.4916
Co 0.4963 0.7974 0.0084
Co 0.5037 0.2026 0.9916
Co 0.7974 0.4963 0.5084